Entry 1:
# HgBiAs2Br

HgBiAs2Br after structural relaxation (GGA-PBE, Alexandria via LeMat-Bulk).

Results
DOS at the Fermi energy	3.21	states/eV per cell
total energy	-12.18	eV for the cell shown
formation energy from raw total energies	0.59	eV per atom
ΔE to the lowest computed polymorph	0.000	eV per atom

Cell: 5.638 5.638 5.839 Å, 90.00 90.00 90.00°
Each line ends with the local moment (μB).
Element x y z (fractional)
1 Br 0.000 0.000 0.500  0.08
2 As 0.000 0.500 0.000  0.53
3 As 0.500 0.000 0.000  0.53
4 Hg 0.500 0.500 0.500  0.07
5 Bi 0.000 0.000 0.000  -0.06

---

Entry 2:
# Hg9Bi2As4Br12

Hg9Bi2As4Br12 after structural relaxation (GGA-PBE, Alexandria via LeMat-Bulk).

Results
total energy	-241.11	eV for the cell shown
formation energy from raw total energies	-0.41	eV per atom

Cell: 11.216 11.216 29.230 Å, 90.00 90.00 90.00°
Element x y z (fractional)
1 Hg 0.860 0.272 0.202
2 Hg 0.578 0.159 0.697
3 Hg 0.140 0.728 0.702
4 Hg 0.243 0.577 0.132
5 Hg 0.692 0.455 0.319
6 Hg 0.470 0.829 0.747
7 Hg 0.972 0.099 0.392
8 Hg 0.504 0.558 0.943
9 Hg 0.545 0.692 0.069
10 Hg 0.192 0.117 0.201
11 Hg 0.577 0.757 0.382
12 Hg 0.028 0.901 0.892
13 Hg 0.117 0.808 0.451
14 Hg 0.558 0.496 0.193
15 Hg 0.026 0.269 0.073
16 Hg 0.099 0.028 0.642
17 Hg 0.757 0.423 0.632
18 Hg 0.423 0.243 0.882
19 Hg 0.841 0.578 0.447
20 Hg 0.883 0.192 0.951
21 Hg 0.442 0.504 0.693
22 Hg 0.455 0.308 0.569
23 Hg 0.829 0.530 0.997
24 Hg 0.159 0.422 0.947
25 Hg 0.731 0.026 0.823
26 Hg 0.808 0.883 0.701
27 Hg 0.974 0.731 0.573
28 Hg 0.422 0.841 0.197
29 Hg 0.269 0.974 0.323
30 Hg 0.530 0.171 0.247
31 Hg 0.901 0.972 0.142
32 Hg 0.171 0.470 0.497
33 Hg 0.728 0.860 0.952
34 Hg 0.272 0.140 0.452
35 Hg 0.308 0.545 0.819
36 Hg 0.496 0.442 0.443
37 Br 0.518 0.972 0.374
38 Br 0.940 0.792 0.793
39 Br 0.888 0.807 0.354
40 Br 0.208 0.940 0.543
41 Br 0.981 0.782 0.006
42 Br 0.782 0.019 0.256
43 Br 0.482 0.028 0.874
44 Br 0.807 0.112 0.604
45 Br 0.972 0.482 0.624
46 Br 0.019 0.218 0.506
47 Br 0.469 0.947 0.021
48 Br 0.053 0.469 0.771
49 Br 0.390 0.295 0.770
50 Br 0.624 0.694 0.849
51 Br 0.908 0.154 0.735
52 Br 0.792 0.060 0.043
53 Br 0.400 0.706 0.472
54 Br 0.028 0.518 0.124
55 Br 0.294 0.400 0.222
56 Br 0.600 0.294 0.972
57 Br 0.092 0.846 0.235
58 Br 0.846 0.908 0.485
59 Br 0.112 0.193 0.854
60 Br 0.706 0.600 0.722
61 Br 0.531 0.053 0.521
62 Br 0.423 0.938 0.647
63 Br 0.291 0.657 0.334
64 Br 0.062 0.423 0.397
65 Br 0.610 0.705 0.270
66 Br 0.154 0.092 0.985
67 Br 0.705 0.390 0.520
68 Br 0.376 0.306 0.349
69 Br 0.343 0.291 0.084
70 Br 0.060 0.208 0.293
71 Br 0.770 0.200 0.402
72 Br 0.657 0.709 0.584
73 Br 0.193 0.888 0.104
74 Br 0.230 0.800 0.902
75 Br 0.947 0.531 0.271
76 Br 0.295 0.610 0.020
77 Br 0.938 0.577 0.897
78 Br 0.709 0.343 0.834
79 Br 0.800 0.770 0.152
80 Br 0.200 0.230 0.652
81 Br 0.218 0.981 0.756
82 Br 0.577 0.062 0.147
83 Br 0.306 0.624 0.599
84 Br 0.694 0.376 0.099
85 Bi 0.816 0.563 0.812
86 Bi 0.437 0.816 0.562
87 Bi 0.563 0.184 0.062
88 Bi 0.217 0.861 0.011
89 Bi 0.139 0.217 0.761
90 Bi 0.783 0.139 0.511
91 Bi 0.861 0.783 0.261
92 Bi 0.184 0.437 0.312
93 As 0.988 0.833 0.651
94 As 0.653 0.673 0.993
95 As 0.344 0.449 0.897
96 As 0.012 0.167 0.151
97 As 0.347 0.327 0.493
98 As 0.833 0.012 0.901
99 As 0.656 0.551 0.397
100 As 0.327 0.653 0.743
101 As 0.638 0.981 0.745
102 As 0.551 0.344 0.647
103 As 0.981 0.362 0.995
104 As 0.449 0.656 0.147
105 As 0.673 0.347 0.243
106 As 0.167 0.988 0.401
107 As 0.362 0.019 0.245
108 As 0.019 0.638 0.495

---

Entry 3:
# InBiAsBr2

InBiAsBr2 after structural relaxation (GGA-PBE, Alexandria via LeMat-Bulk).

Results
DOS at the Fermi energy	3.53	states/eV per cell
total energy	-14.68	eV for the cell shown
formation energy from raw total energies	-0.01	eV per atom
ΔE to the lowest computed polymorph	0.000	eV per atom

Cell: 5.858 5.858 5.553 Å, 90.00 90.00 90.00°
Each line ends with the local moment (μB).
Element x y z (fractional)
1 Br 0.500 0.000 0.000  0.03
2 Br 0.000 0.500 0.000  0.03
3 As 0.000 0.000 0.500  0.30
4 Bi 0.000 0.000 0.000  -0.06
5 In 0.500 0.500 0.500  0.01

---

Entry 4:
# KBiAsBr2

KBiAsBr2 after structural relaxation (GGA-PBE, Alexandria via LeMat-Bulk).

Results
DOS at the Fermi energy	3.97	states/eV per cell
total energy	-15.23	eV for the cell shown
formation energy from raw total energies	-0.45	eV per atom
ΔE to the lowest computed polymorph	0.000	eV per atom

Cell: 5.983 5.983 5.513 Å, 90.00 90.00 90.00°
Each line ends with the local moment (μB).
Element x y z (fractional)
1 As 0.000 0.000 0.500  0.32
2 Bi 0.000 0.000 0.000  -0.07
3 Br 0.500 0.000 0.000  0.03
4 Br 0.000 0.500 0.000  0.03
5 K 0.500 0.500 0.500  0.00

---

Entry 5:
# KBiAsBr2

KBiAsBr2 after structural relaxation (GGA-PBE, Alexandria via LeMat-Bulk).

Results
DOS at the Fermi energy	1.97	states/eV per cell
total energy	-11.28	eV for the cell shown
formation energy from raw total energies	0.34	eV per atom
ΔE to the lowest computed polymorph	0.791	eV per atom

Cell: 5.757 5.757 6.147 Å, 90.00 90.00 90.00°
Each line ends with the local moment (μB).
Element x y z (fractional)
1 Br 0.000 0.500 0.000  0.06
2 Br 0.500 0.000 0.000  0.06
3 Bi 0.500 0.500 0.500  -0.88
4 K 0.000 0.000 0.000  0.03
5 As 0.000 0.000 0.500  0.98

---

Entry 6:
# LaBiAs2Br

LaBiAs2Br after structural relaxation (GGA-PBE, Alexandria via LeMat-Bulk).

Results
DOS at the Fermi energy	3.96	states/eV per cell
total energy	-19.45	eV for the cell shown
formation energy from raw total energies	0.07	eV per atom
ΔE to the lowest computed polymorph	0.150	eV per atom

Cell: 5.775 5.775 5.535 Å, 90.00 90.00 90.00°
Element x y z (fractional)
1 As 0.500 0.000 0.000
2 As 0.000 0.500 0.000
3 La 0.000 0.000 0.000
4 Bi 0.500 0.500 0.500
5 Br 0.000 0.000 0.500

---

Entry 7:
# La3BiAsBr

La3BiAsBr after structural relaxation (GGA-PBE, Alexandria via LeMat-Bulk).

Results
DOS at the Fermi energy	7.95	states/eV per cell
total energy	-65.63	eV for the cell shown
formation energy from raw total energies	-1.31	eV per atom

Cell: 4.408 7.682 11.815 Å, 102.13 90.00 90.00°
Element x y z (fractional)
1 La 0.750 0.044 0.144
2 La 0.250 0.453 0.847
3 La 0.750 0.547 0.153
4 La 0.250 0.956 0.856
5 La 0.250 0.720 0.502
6 La 0.750 0.280 0.498
7 Bi 0.250 0.344 0.303
8 Bi 0.750 0.656 0.697
9 Br 0.750 0.876 0.365
10 Br 0.250 0.124 0.635
11 As 0.750 0.235 0.941
12 As 0.250 0.765 0.059

---

Entry 8:
# LaBiAs2Br

LaBiAs2Br after structural relaxation (GGA-PBE, Alexandria via LeMat-Bulk).

Results
DOS at the Fermi energy	4.03	states/eV per cell
total energy	-20.20	eV for the cell shown
formation energy from raw total energies	-0.08	eV per atom
ΔE to the lowest computed polymorph	0.000	eV per atom

Cell: 5.448 5.448 5.452 Å, 90.00 90.00 90.00°
Each line ends with the local moment (μB).
Element x y z (fractional)
1 Br 0.000 0.000 0.500  0.00
2 Bi 0.000 0.000 0.000  0.00
3 As 0.000 0.500 0.000  0.00
4 As 0.500 0.000 0.000  0.00
5 La 0.500 0.500 0.500  0.06

---

Entry 9:
# LiBiAsBr2

LiBiAsBr2 after structural relaxation (GGA-PBE, Alexandria via LeMat-Bulk).

Results
DOS at the Fermi energy	2.89	states/eV per cell
total energy	-14.35	eV for the cell shown
formation energy from raw total energies	-0.11	eV per atom

Cell: 4.771 4.771 5.487 Å, 90.00 90.00 90.00°
Each line ends with the local moment (μB).
Element x y z (fractional)
1 Br 0.000 0.500 0.000  0.04
2 Br 0.500 0.000 0.000  0.04
3 Bi 0.500 0.500 0.500  -0.07
4 As 0.000 0.000 0.500  0.28
5 Li 0.000 0.000 0.000  0.02

---

Entry 10:
# Mn2BiAsBr

Mn2BiAsBr after structural relaxation (GGA-PBE, Alexandria via LeMat-Bulk).

Results
DOS at the Fermi energy	5.88	states/eV per cell
total energy	-26.20	eV for the cell shown
formation energy from raw total energies	0.47	eV per atom

Cell: 4.792 5.886 4.792 Å, 90.00 90.00 90.00°
Each line ends with the local moment (μB).
Element x y z (fractional)
1 Bi 0.000 0.500 0.000  -0.30
2 Br 0.500 0.500 0.500  0.02
3 Mn 0.500 0.000 0.000  3.87
4 Mn 0.000 0.000 0.500  3.87
5 As 0.000 0.000 0.000  -0.07

---

Entry 11:
# BiMoAsBr2

BiMoAsBr2 after structural relaxation (GGA-PBE, Alexandria via LeMat-Bulk).

Results
DOS at the Fermi energy	3.29	states/eV per cell
total energy	-20.82	eV for the cell shown
formation energy from raw total energies	0.38	eV per atom
ΔE to the lowest computed polymorph	0.000	eV per atom

Cell: 5.150 5.150 5.092 Å, 90.00 90.00 90.00°
Each line ends with the local moment (μB).
Element x y z (fractional)
1 Mo 0.000 0.000 0.000  1.93
2 Br 0.000 0.500 0.000  0.04
3 Br 0.500 0.000 0.000  0.04
4 As 0.000 0.000 0.500  -0.14
5 Bi 0.500 0.500 0.500  0.50

---

Entry 12:
# BiAsBr2N

BiAsBr2N after structural relaxation (GGA-PBE, Alexandria via LeMat-Bulk).

Results
DOS at the Fermi energy	0.86	states/eV per cell
total energy	-14.79	eV for the cell shown
formation energy from raw total energies	1.08	eV per atom
ΔE to the lowest computed polymorph	0.247	eV per atom

Cell: 5.761 5.761 5.859 Å, 90.00 90.00 90.00°
Each line ends with the local moment (μB).
Element x y z (fractional)
1 Br 0.000 0.500 0.000  -0.04
2 Br 0.500 0.000 0.000  -0.04
3 Bi 0.000 0.000 0.000  0.08
4 As 0.000 0.000 0.500  -0.83
5 N 0.500 0.500 0.500  1.91

---

Entry 13:
# BiAsBr2N

BiAsBr2N after structural relaxation (GGA-PBE, Alexandria via LeMat-Bulk).

Results
DOS at the Fermi energy	0.50	states/eV per cell
total energy	-16.02	eV for the cell shown
formation energy from raw total energies	0.84	eV per atom
ΔE to the lowest computed polymorph	0.000	eV per atom

Cell: 4.562 4.562 5.037 Å, 90.00 90.00 90.00°
Element x y z (fractional)
1 As 0.000 0.000 0.500
2 Br 0.000 0.500 0.000
3 Br 0.500 0.000 0.000
4 N 0.000 0.000 0.000
5 Bi 0.500 0.500 0.500

---

Entry 14:
# BiAs2BrN

BiAs2BrN after structural relaxation (GGA-PBE, Alexandria via LeMat-Bulk).

Results
DOS at the Fermi energy	2.30	states/eV per cell
total energy	-15.03	eV for the cell shown
formation energy from raw total energies	1.63	eV per atom
ΔE to the lowest computed polymorph	0.818	eV per atom

Cell: 5.649 5.649 5.927 Å, 90.00 90.00 90.00°
Each line ends with the local moment (μB).
Element x y z (fractional)
1 Bi 0.000 0.000 0.000  -0.07
2 As 0.500 0.000 0.000  0.57
3 As 0.000 0.500 0.000  0.57
4 Br 0.000 0.000 0.500  0.12
5 N 0.500 0.500 0.500  1.91

---

Entry 15:
# BiAs2BrN

BiAs2BrN after structural relaxation (GGA-PBE, Alexandria via LeMat-Bulk).

Results
DOS at the Fermi energy	3.03	states/eV per cell
total energy	-19.12	eV for the cell shown
formation energy from raw total energies	0.81	eV per atom
ΔE to the lowest computed polymorph	0.000	eV per atom

Cell: 4.651 4.651 4.522 Å, 90.00 90.00 90.00°
Element x y z (fractional)
1 Br 0.000 0.000 0.500
2 Bi 0.500 0.500 0.500
3 N 0.000 0.000 0.000
4 As 0.500 0.000 0.000
5 As 0.000 0.500 0.000

---

Entry 16:
# NaBiAsBr2

NaBiAsBr2 after structural relaxation (GGA-PBE, Alexandria via LeMat-Bulk).

Results
DOS at the Fermi energy	4.05	states/eV per cell
total energy	-14.45	eV for the cell shown
formation energy from raw total energies	-0.25	eV per atom
ΔE to the lowest computed polymorph	0.000	eV per atom

Cell: 5.932 5.932 5.517 Å, 90.00 90.00 90.00°
Each line ends with the local moment (μB).
Element x y z (fractional)
1 Na 0.500 0.500 0.500  0.00
2 Br 0.000 0.500 0.000  0.03
3 Br 0.500 0.000 0.000  0.03
4 As 0.000 0.000 0.500  0.31
5 Bi 0.000 0.000 0.000  -0.07

---

Entry 17:
# NaBiAsBr2

NaBiAsBr2 after structural relaxation (GGA-PBE, Alexandria via LeMat-Bulk).

Results
DOS at the Fermi energy	1.72	states/eV per cell
total energy	-12.62	eV for the cell shown
formation energy from raw total energies	0.11	eV per atom
ΔE to the lowest computed polymorph	0.366	eV per atom

Cell: 5.122 5.122 5.795 Å, 90.00 90.00 90.00°
Each line ends with the local moment (μB).
Element x y z (fractional)
1 As 0.000 0.000 0.500  0.64
2 Br 0.500 0.000 0.000  0.06
3 Br 0.000 0.500 0.000  0.06
4 Bi 0.500 0.500 0.500  -0.37
5 Na 0.000 0.000 0.000  0.01

---

Entry 18:
# NbBiAsBr2

NbBiAsBr2 after structural relaxation (GGA-PBE, Alexandria via LeMat-Bulk).

Results
DOS at the Fermi energy	4.78	states/eV per cell
total energy	-21.16	eV for the cell shown
formation energy from raw total energies	0.16	eV per atom
ΔE to the lowest computed polymorph	0.000	eV per atom

Cell: 5.113 5.113 5.308 Å, 90.00 90.00 90.00°
Each line ends with the local moment (μB).
Element x y z (fractional)
1 Bi 0.500 0.500 0.500  0.80
2 Nb 0.000 0.000 0.000  0.77
3 Br 0.500 0.000 0.000  0.02
4 Br 0.000 0.500 0.000  0.02
5 As 0.000 0.000 0.500  -0.08

---

Entry 19:
# NbBiAs2Br

NbBiAs2Br after structural relaxation (GGA-PBE, Alexandria via LeMat-Bulk).

Results
DOS at the Fermi energy	6.84	states/eV per cell
total energy	-18.64	eV for the cell shown
formation energy from raw total energies	1.26	eV per atom
ΔE to the lowest computed polymorph	1.029	eV per atom

Cell: 5.419 5.419 5.482 Å, 90.00 90.00 90.00°
Each line ends with the local moment (μB).
Element x y z (fractional)
1 As 0.000 0.500 0.000  -0.21
2 As 0.500 0.000 0.000  -0.21
3 Bi 0.000 0.000 0.000  0.01
4 Br 0.000 0.000 0.500  -0.05
5 Nb 0.500 0.500 0.500  2.68

---

Entry 20:
# NbBiAs2Br

NbBiAs2Br after structural relaxation (GGA-PBE, Alexandria via LeMat-Bulk).

Results
DOS at the Fermi energy	4.30	states/eV per cell
total energy	-23.78	eV for the cell shown
formation energy from raw total energies	0.23	eV per atom
ΔE to the lowest computed polymorph	0.000	eV per atom

Cell: 5.128 5.128 5.032 Å, 90.00 90.00 90.00°
Element x y z (fractional)
1 Bi 0.500 0.500 0.500
2 As 0.500 0.000 0.000
3 As 0.000 0.500 0.000
4 Br 0.000 0.000 0.500
5 Nb 0.000 0.000 0.000

---

Entry 21:
# Nd3BiAsBr

Nd3BiAsBr after structural relaxation (GGA-PBE, Alexandria via LeMat-Bulk).

Results
DOS at the Fermi energy	7.06	states/eV per cell
total energy	-63.63	eV for the cell shown
formation energy from raw total energies	-1.22	eV per atom

Cell: 4.319 7.566 11.564 Å, 102.24 90.00 90.00°
Element x y z (fractional)
1 Bi 0.750 0.659 0.701
2 Bi 0.250 0.341 0.299
3 Nd 0.750 0.549 0.153
4 Nd 0.750 0.288 0.498
5 Nd 0.250 0.451 0.847
6 Nd 0.250 0.957 0.856
7 Nd 0.750 0.043 0.144
8 Nd 0.250 0.712 0.502
9 Br 0.750 0.878 0.369
10 Br 0.250 0.122 0.631
11 As 0.750 0.235 0.942
12 As 0.250 0.765 0.058

---

Entry 22:
# NiBiAs2Br

NiBiAs2Br after structural relaxation (GGA-PBE, Alexandria via LeMat-Bulk).

Results
DOS at the Fermi energy	6.72	states/eV per cell
total energy	-19.18	eV for the cell shown
formation energy from raw total energies	0.29	eV per atom
ΔE to the lowest computed polymorph	0.000	eV per atom

Cell: 4.767 4.767 4.881 Å, 90.00 90.00 90.00°
Element x y z (fractional)
1 Bi 0.500 0.500 0.500
2 As 0.000 0.500 0.000
3 As 0.500 0.000 0.000
4 Br 0.000 0.000 0.500
5 Ni 0.000 0.000 0.000